{
  "formula": "Sr2ScAlO5",
  "functional": "GGA-PBE",
  "state": "relaxed",
  "lattice": [[3.291, 0.000, 0.000], [-1.646, 7.041, 0.000], [0.000, 0.000, 10.840]],
  "species": ["Sr", "Sr", "Sr", "Sr", "Sc", "Sc", "Al", "Al", "O", "O", "O", "O", "O", "O", "O", "O", "O", "O"],
  "fractional_positions": [[0.861, 0.721, 0.821], [0.101, 0.202, 0.669], [0.139, 0.279, 0.321], [0.899, 0.798, 0.169], [0.787, 0.575, 0.533], [0.213, 0.425, 0.033], [0.553, 0.106, 0.935], [0.447, 0.894, 0.435], [0.351, 0.703, 0.004], [0.680, 0.360, 0.904], [0.498, 0.996, 0.790], [0.287, 0.574, 0.658], [0.956, 0.913, 0.510], [0.649, 0.297, 0.504], [0.320, 0.640, 0.404], [0.502, 0.004, 0.290], [0.713, 0.426, 0.158], [0.044, 0.087, 0.010]],
  "spacegroup": "No. 36",
  "formation_energy_uncorrected_ev_per_atom": -3.05
}

=====

{
  "formula": "SrScAl2O",
  "functional": "GGA-PBE",
  "state": "relaxed",
  "lattice": [[5.748, 0.000, 0.000], [0.000, 3.921, 0.000], [0.000, 0.000, 5.748]],
  "species": ["Sc", "Sr", "Al", "Al", "O"],
  "fractional_positions": [[0.000, 0.000, 0.000], [0.500, 0.500, 0.500], [0.000, 0.000, 0.500], [0.500, 0.000, 0.000], [0.000, 0.500, 0.000]],
  "spacegroup": "No. 123",
  "formation_energy_uncorrected_ev_per_atom": -0.55
}

=====

{
  "formula": "SrSc2AlO",
  "functional": "GGA-PBE",
  "state": "relaxed",
  "lattice": [[5.066, 0.000, 0.000], [0.000, 6.161, 0.000], [0.000, 0.000, 5.066]],
  "species": ["Sc", "Sc", "Sr", "Al", "O"],
  "fractional_positions": [[0.000, 0.000, 0.500], [0.500, 0.000, 0.000], [0.000, 0.500, 0.000], [0.000, 0.000, 0.000], [0.500, 0.500, 0.500]],
  "spacegroup": "No. 123",
  "formation_energy_uncorrected_ev_per_atom": 0.43
}

=====

{
  "formula": "ScTaAlO6",
  "functional": "GGA-PBE",
  "state": "relaxed",
  "lattice": [[4.548, 0.000, 0.000], [0.000, 5.088, 0.000], [0.000, -2.544, 4.406]],
  "species": ["Sc", "Ta", "Al", "O", "O", "O", "O", "O", "O"],
  "fractional_positions": [[0.000, 0.333, 0.667], [0.500, 0.667, 0.333], [0.500, 0.000, 0.000], [0.730, 0.686, 0.677], [0.730, 0.323, 0.009], [0.730, 0.991, 0.314], [0.270, 0.323, 0.314], [0.270, 0.686, 0.009], [0.270, 0.991, 0.677]],
  "spacegroup": "No. 149",
  "formation_energy_uncorrected_ev_per_atom": -2.77
}

=====

{
  "formula": "ScTaAl2O8",
  "functional": "GGA-PBE",
  "state": "relaxed",
  "lattice": [[5.630, 0.228, 0.000], [-2.292, 5.147, 0.000], [-1.669, -2.687, 4.662]],
  "species": ["Sc", "Ta", "Al", "Al", "O", "O", "O", "O", "O", "O", "O", "O"],
  "fractional_positions": [[0.250, 0.750, 0.500], [0.000, 0.000, 0.000], [0.750, 0.250, 0.500], [0.500, 0.500, 0.000], [0.369, 0.075, 0.295], [0.302, 0.490, 0.188], [0.302, 0.114, 0.812], [0.780, 0.075, 0.705], [0.886, 0.698, 0.188], [0.925, 0.220, 0.295], [0.925, 0.631, 0.705], [0.510, 0.698, 0.812]],
  "spacegroup": "No. 119",
  "formation_energy_uncorrected_ev_per_atom": -2.55
}

=====

{
  "formula": "ScAl2TeO8",
  "functional": "GGA-PBE",
  "state": "relaxed",
  "lattice": [[5.597, 0.271, 0.000], [-2.240, 5.136, 0.000], [-1.678, -2.703, 4.612]],
  "species": ["Sc", "Al", "Al", "Te", "O", "O", "O", "O", "O", "O", "O", "O"],
  "fractional_positions": [[0.250, 0.750, 0.500], [0.750, 0.250, 0.500], [0.500, 0.500, 0.000], [0.000, 0.000, 0.000], [0.363, 0.062, 0.301], [0.298, 0.483, 0.184], [0.298, 0.114, 0.816], [0.761, 0.062, 0.699], [0.886, 0.702, 0.184], [0.938, 0.239, 0.301], [0.938, 0.637, 0.699], [0.517, 0.702, 0.816]],
  "spacegroup": "No. 119",
  "formation_energy_uncorrected_ev_per_atom": -1.99
}

=====

{
  "formula": "ScAl2Tl3O6",
  "functional": "GGA-PBE",
  "state": "relaxed",
  "lattice": [[5.895, 0.000, 0.000], [-2.948, 5.105, 0.000], [0.000, 0.000, 7.141]],
  "species": ["Sc", "Al", "Al", "Tl", "Tl", "Tl", "O", "O", "O", "O", "O", "O"],
  "fractional_positions": [[0.000, 0.000, 0.500], [0.667, 0.333, 0.680], [0.333, 0.667, 0.320], [0.333, 0.667, 0.770], [0.667, 0.333, 0.230], [0.000, 0.000, 0.000], [0.668, 0.834, 0.318], [0.166, 0.332, 0.318], [0.166, 0.834, 0.318], [0.834, 0.668, 0.682], [0.332, 0.166, 0.682], [0.834, 0.166, 0.682]],
  "spacegroup": "No. 164",
  "formation_energy_uncorrected_ev_per_atom": -1.94
}

=====

{
  "formula": "Sc4AlTlO",
  "functional": "GGA-PBE",
  "state": "relaxed",
  "lattice": [[6.103, 0.000, 0.000], [0.000, 6.106, 0.000], [-3.051, 0.000, 7.580]],
  "species": ["Sc", "Sc", "Sc", "Sc", "Sc", "Sc", "Sc", "Sc", "Al", "Al", "Tl", "Tl", "O", "O"],
  "fractional_positions": [[0.915, 0.250, 0.829], [0.411, 0.750, 0.822], [0.085, 0.750, 0.171], [0.589, 0.250, 0.178], [0.500, 0.500, 0.500], [0.000, 0.000, 0.500], [0.500, 0.000, 0.500], [0.000, 0.500, 0.500], [0.113, 0.250, 0.225], [0.887, 0.750, 0.775], [0.607, 0.750, 0.214], [0.393, 0.250, 0.786], [0.251, 0.750, 0.501], [0.749, 0.250, 0.499]],
  "spacegroup": "No. 63",
  "formation_energy_uncorrected_ev_per_atom": -1.05
}

=====

{
  "formula": "Tm3Sc2Al3O12",
  "functional": "GGA-PBE",
  "state": "relaxed",
  "lattice": [[10.678, 0.000, 0.000], [-3.559, 10.067, 0.000], [-3.559, -5.034, 8.719]],
  "species": ["Tm", "Tm", "Tm", "Tm", "Tm", "Tm", "Tm", "Tm", "Tm", "Tm", "Tm", "Tm", "Sc", "Sc", "Sc", "Sc", "Sc", "Sc", "Sc", "Sc", "Al", "Al", "Al", "Al", "Al", "Al", "Al", "Al", "Al", "Al", "Al", "Al", "O", "O", "O", "O", "O", "O", "O", "O", "O", "O", "O", "O", "O", "O", "O", "O", "O", "O", "O", "O", "O", "O", "O", "O", "O", "O", "O", "O", "O", "O", "O", "O", "O", "O", "O", "O", "O", "O", "O", "O", "O", "O", "O", "O", "O", "O", "O", "O"],
  "fractional_positions": [[0.250, 0.375, 0.125], [0.750, 0.625, 0.875], [0.750, 0.125, 0.375], [0.125, 0.250, 0.375], [0.375, 0.750, 0.125], [0.250, 0.875, 0.625], [0.875, 0.750, 0.625], [0.625, 0.250, 0.875], [0.375, 0.125, 0.250], [0.625, 0.875, 0.750], [0.125, 0.375, 0.750], [0.875, 0.625, 0.250], [0.000, 0.000, 0.000], [0.500, 0.000, 0.500], [0.000, 0.500, 0.500], [0.500, 0.000, 0.000], [0.500, 0.500, 0.000], [0.500, 0.500, 0.500], [0.000, 0.000, 0.500], [0.000, 0.500, 0.000], [0.250, 0.625, 0.375], [0.750, 0.375, 0.625], [0.750, 0.875, 0.125], [0.375, 0.250, 0.625], [0.625, 0.750, 0.375], [0.250, 0.125, 0.875], [0.125, 0.750, 0.875], [0.875, 0.250, 0.125], [0.625, 0.375, 0.250], [0.375, 0.625, 0.750], [0.875, 0.125, 0.750], [0.125, 0.875, 0.250], [0.472, 0.373, 0.284], [0.528, 0.627, 0.716], [0.589, 0.188, 0.216], [0.911, 0.127, 0.599], [0.284, 0.472, 0.373], [0.312, 0.911, 0.284], [0.411, 0.812, 0.784], [0.089, 0.873, 0.401], [0.716, 0.528, 0.627], [0.688, 0.089, 0.716], [0.028, 0.312, 0.901], [0.216, 0.589, 0.188], [0.127, 0.028, 0.216], [0.972, 0.688, 0.099], [0.784, 0.411, 0.812], [0.873, 0.972, 0.784], [0.599, 0.911, 0.127], [0.188, 0.472, 0.599], [0.401, 0.089, 0.873], [0.812, 0.528, 0.401], [0.901, 0.028, 0.312], [0.373, 0.589, 0.901], [0.099, 0.972, 0.688], [0.627, 0.411, 0.099], [0.373, 0.284, 0.472], [0.589, 0.901, 0.373], [0.627, 0.716, 0.528], [0.411, 0.099, 0.627], [0.127, 0.599, 0.911], [0.028, 0.216, 0.127], [0.873, 0.401, 0.089], [0.972, 0.784, 0.873], [0.312, 0.901, 0.028], [0.911, 0.284, 0.312], [0.688, 0.099, 0.972], [0.089, 0.716, 0.688], [0.188, 0.216, 0.589], [0.472, 0.599, 0.188], [0.812, 0.784, 0.411], [0.528, 0.401, 0.812], [0.284, 0.312, 0.911], [0.716, 0.688, 0.089], [0.216, 0.127, 0.028], [0.784, 0.873, 0.972], [0.901, 0.373, 0.589], [0.099, 0.627, 0.411], [0.599, 0.188, 0.472], [0.401, 0.812, 0.528]],
  "spacegroup": "No. 230",
  "formation_energy_uncorrected_ev_per_atom": -3.42
}

=====

{
  "formula": "TmSc2AlO",
  "functional": "GGA-PBE",
  "state": "relaxed",
  "lattice": [[4.607, 0.000, 0.000], [0.000, 4.421, 0.000], [0.000, 0.000, 4.421]],
  "species": ["Tm", "Sc", "Sc", "Al", "O"],
  "fractional_positions": [[0.500, 0.000, 0.000], [0.000, 0.000, 0.500], [0.000, 0.500, 0.000], [0.500, 0.500, 0.500], [0.000, 0.000, 0.000]],
  "spacegroup": "No. 123",
  "formation_energy_uncorrected_ev_per_atom": -1.42
}

=====

{
  "formula": "ScUAlO6",
  "functional": "GGA-PBE",
  "state": "relaxed",
  "lattice": [[-3.645, -3.493, -1.313], [1.353, 0.603, 5.002], [-6.477, 6.390, 0.982]],
  "species": ["Sc", "Sc", "U", "U", "Al", "Al", "O", "O", "O", "O", "O", "O", "O", "O", "O", "O", "O", "O"],
  "fractional_positions": [[0.000, 0.000, 0.000], [0.000, 0.000, 0.500], [0.667, 0.333, 0.250], [0.333, 0.667, 0.750], [0.333, 0.667, 0.250], [0.667, 0.333, 0.750], [0.646, 0.669, 0.135], [0.023, 0.354, 0.135], [0.354, 0.023, 0.635], [0.977, 0.646, 0.865], [0.331, 0.354, 0.365], [0.023, 0.669, 0.365], [0.669, 0.023, 0.865], [0.646, 0.977, 0.365], [0.977, 0.331, 0.635], [0.331, 0.977, 0.135], [0.669, 0.646, 0.635], [0.354, 0.331, 0.865]],
  "spacegroup": "No. 163",
  "formation_energy_uncorrected_ev_per_atom": -3.10
}

=====

{
  "formula": "ScUAl2O8",
  "functional": "GGA-PBE",
  "state": "relaxed",
  "lattice": [[5.734, 0.243, 0.000], [-2.325, 5.247, 0.000], [-1.705, -2.745, 4.743]],
  "species": ["Sc", "U", "Al", "Al", "O", "O", "O", "O", "O", "O", "O", "O"],
  "fractional_positions": [[0.000, 0.000, 0.000], [0.250, 0.750, 0.500], [0.750, 0.250, 0.500], [0.500, 0.500, 0.000], [0.372, 0.063, 0.309], [0.316, 0.510, 0.194], [0.316, 0.122, 0.806], [0.754, 0.063, 0.691], [0.878, 0.684, 0.194], [0.937, 0.246, 0.309], [0.937, 0.628, 0.691], [0.490, 0.684, 0.806]],
  "spacegroup": "No. 119",
  "formation_energy_uncorrected_ev_per_atom": -2.82
}